[1]
{
  "formula": "Tm8CoAg2",
  "functional": "PBE",
  "state": "optimized geometry",
  "lattice": [[8.510, -2.579, 0.000], [8.510, 2.579, 0.000], [-2.140, 0.000, 6.351]],
  "species": ["Tm", "Tm", "Tm", "Tm", "Tm", "Tm", "Tm", "Tm", "Co", "Ag", "Ag"],
  "frac_coords": [[0.026, 0.026, 0.292], [0.200, 0.200, 0.802], [0.343, 0.343, 0.538], [0.410, 0.410, 0.078], [0.590, 0.590, 0.922], [0.657, 0.657, 0.462], [0.800, 0.800, 0.198], [0.974, 0.974, 0.708], [0.500, 0.500, 0.500], [0.183, 0.183, 0.212], [0.817, 0.817, 0.788]],
  "e_above_lowest_polymorph_mev_per_atom": 0,
  "dos_at_fermi_per_ev_cell": 9.54,
  "rho_g_cm3": 9.7,
  "total_magnetization_mub_per_cell": 0.0,
  "formation_energy_ev_per_atom": -0.145
}

***

[2]
{
  "formula": "LiNbSbTe2",
  "functional": "PBE",
  "state": "optimized geometry",
  "lattice": [[5.049, 0.000, 0.000], [0.000, 5.049, 0.000], [0.000, 0.000, 4.724]],
  "species": ["Li", "Nb", "Sb", "Te", "Te"],
  "frac_coords": [[0.000, 0.000, 0.000], [0.500, 0.500, 0.500], [0.000, 0.000, 0.500], [0.000, 0.500, 0.000], [0.500, 0.000, 0.000]],
  "e_above_lowest_polymorph_mev_per_atom": 677,
  "dos_at_fermi_per_ev_cell": 8.79,
  "rho_g_cm3": 6.6,
  "total_magnetization_mub_per_cell": 0.0
}

***

[3]
{
  "formula": "PaAgPb2",
  "functional": "PBE",
  "state": "optimized geometry",
  "lattice": [[3.309, 0.000, 0.000], [0.000, 3.309, 0.000], [0.000, 0.000, 9.425]],
  "species": ["Pa", "Ag", "Pb", "Pb"],
  "frac_coords": [[0.000, 0.000, 0.000], [0.000, 0.000, 0.500], [0.500, 0.500, 0.268], [0.500, 0.500, 0.732]],
  "e_above_lowest_polymorph_mev_per_atom": 174,
  "dos_at_fermi_per_ev_cell": 5.53,
  "rho_g_cm3": 12.1,
  "total_magnetization_mub_per_cell": 1.0,
  "formation_energy_ev_per_atom": 0.206
}

***

[4]
{
  "formula": "LiErIn2I6",
  "functional": "PBE",
  "state": "optimized geometry",
  "lattice": [[4.143, 2.392, 6.913], [-4.143, 2.392, 6.913], [0.000, -4.784, 6.913]],
  "species": ["Li", "Er", "In", "In", "I", "I", "I", "I", "I", "I"],
  "frac_coords": [[0.000, 0.000, 0.000], [0.508, 0.508, 0.508], [0.211, 0.211, 0.211], [0.717, 0.717, 0.717], [0.176, 0.346, 0.763], [0.274, 0.848, 0.667], [0.346, 0.763, 0.176], [0.667, 0.274, 0.848], [0.763, 0.176, 0.346], [0.848, 0.667, 0.274]],
  "dos_at_fermi_per_ev_cell": 0.00,
  "rho_g_cm3": 4.7,
  "total_magnetization_mub_per_cell": 0.0
}

***

Number 1: volume 25.344 A^3/atom, VASP energy -4.562 eV per atom. Number 2: volume 24.084 A^3/atom, VASP energy -3.779 eV per atom. Number 3: volume 25.803 A^3/atom, VASP energy -4.735 eV per atom. Number 4: volume 41.100 A^3/atom, VASP energy -3.076 eV per atom.